Entry 1:
# BeIn2Si

A crystal of BeIn2Si relaxed with PBEsol (SCAN, the Alexandria database).

Cell: 4.136 4.623 7.646 Å, 90.00 90.00 90.00°
Sites, in units of the cell vectors:
Be  0.000  0.000  0.000
Be  0.500  0.500  0.000
In  0.000  0.500  0.226
In  0.000  0.500  0.774
In  0.500  0.000  0.226
In  0.500  0.000  0.774
Si  0.000  0.000  0.500
Si  0.500  0.500  0.500

Output
offset from the most stable computed form = 164 meV per atom
raw formation energy = 584.5 meV/atom
uncorrected energy = -19.70 eV/atom

Entry 2:
# Cr2GaH2

A crystal of Cr2GaH2 relaxed with PBEsol (SCAN, the Alexandria database).

Cell: 2.997 2.997 9.145 Å, 90.00 90.00 90.00°
Sites, in units of the cell vectors:
Cr  0.000  0.000  0.160
Cr  0.000  0.000  0.840
Cr  0.500  0.500  0.340
Cr  0.500  0.500  0.660
Ga  0.000  0.000  0.500
Ga  0.500  0.500  0.000
H  0.000  0.500  0.250
H  0.000  0.500  0.750
H  0.500  0.000  0.250
H  0.500  0.000  0.750

Output
uncorrected energy = -11.93 eV/atom

Entry 3:
# RbLi2BiAs

A crystal of RbLi2BiAs relaxed with PBEsol (SCAN, the Alexandria database).

Cell: 5.235 5.235 5.866 Å, 90.00 90.00 90.00°
Sites, in units of the cell vectors:
Rb  0.000  0.000  0.000
Li  0.000  0.500  0.500
Li  0.500  0.000  0.500
Bi  0.500  0.500  0.500
As  0.500  0.500  0.000

Output
ΔH_f (0 K) = -0.127 eV/atom
uncorrected energy = -24.98 eV/atom